The following is a PBE calculation of crystalline CeFeCo2P2 at its relaxed geometry, from Alexandria via LeMat-Bulk.

The formation energy comes out at -0.212 eV/atom. For the raw total energy, the calculation gives -0.499 Ry/atom.

Cell lengths 4.332, 4.332, 4.823 Å; angles 90.00, 90.00, 90.00 degrees
Sites, in units of the cell vectors:
Ce 0.000 0.000 0.000
Fe 0.000 0.000 0.500
Co 0.500 0.500 0.249
Co 0.500 0.500 0.751
P 0.000 0.500 0.500
P 0.500 0.000 0.500


The following is a PBE calculation of crystalline Ce2FeCo12P3 at its relaxed geometry, from Alexandria via LeMat-Bulk.

The formation energy comes out at -0.015 eV/atom. For the raw total energy, the calculation gives -0.499 Ry/atom.

Cell lengths 6.181, 6.181, 6.181 Å; angles 82.03, 82.03, 82.03 degrees
Sites, in units of the cell vectors:
Ce 0.129 0.129 0.129
Ce 0.871 0.871 0.871
Fe 0.500 0.500 0.500
Co 0.131 0.131 0.594
Co 0.131 0.594 0.131
Co 0.172 0.685 0.685
Co 0.315 0.315 0.828
Co 0.315 0.828 0.315
Co 0.406 0.869 0.869
Co 0.594 0.131 0.131
Co 0.685 0.172 0.685
Co 0.685 0.685 0.172
Co 0.828 0.315 0.315
Co 0.869 0.406 0.869
Co 0.869 0.869 0.406
P 0.000 0.500 0.500
P 0.500 0.000 0.500
P 0.500 0.500 0.000


The following is a PBE calculation of crystalline CeScFeCo at its relaxed geometry, from Alexandria via LeMat-Bulk.

The formation energy comes out at -0.096 eV/atom. For the raw total energy, the calculation gives -0.519 Ry/atom.

Cell lengths 6.492, 6.492, 6.492 Å; angles 90.00, 90.00, 90.00 degrees
Sites, in units of the cell vectors:
Ce 0.000 0.000 0.000
Ce 0.000 0.500 0.500
Ce 0.500 0.000 0.500
Ce 0.500 0.500 0.000
Sc 0.000 0.000 0.500
Sc 0.000 0.500 0.000
Sc 0.500 0.000 0.000
Sc 0.500 0.500 0.500
Fe 0.250 0.250 0.750
Fe 0.250 0.750 0.250
Fe 0.750 0.250 0.250
Fe 0.750 0.750 0.750
Co 0.250 0.250 0.250
Co 0.250 0.750 0.750
Co 0.750 0.250 0.750
Co 0.750 0.750 0.250


The following is a PBE calculation of crystalline CeFeCoSi2 at its relaxed geometry, from Alexandria via LeMat-Bulk.

As for the energy relative to the elements, uncorrected: -0.726 eV per atom. For the raw total energy, the calculation gives -0.529 Ry/atom.

Cell lengths 3.965, 3.965, 9.661 Å; angles 90.00, 90.00, 90.00 degrees
Sites, in units of the cell vectors:
Ce 0.000 0.000 0.000
Ce 0.500 0.500 0.500
Fe 0.000 0.500 0.750
Fe 0.500 0.000 0.250
Co 0.000 0.500 0.250
Co 0.500 0.000 0.750
Si 0.000 0.000 0.367
Si 0.000 0.000 0.633
Si 0.500 0.500 0.133
Si 0.500 0.500 0.867


The following is a PBE calculation of crystalline Ce2Fe2Co5Si at its relaxed geometry, from Alexandria via LeMat-Bulk.

As for the energy relative to the elements, uncorrected: -0.098 eV per atom. For the raw total energy, the calculation gives -0.520 Ry/atom.

Cell lengths 8.678, 8.678, 3.716 Å; angles 90.00, 90.00, 90.00 degrees
Sites, in units of the cell vectors:
Ce 0.170 0.330 0.000
Ce 0.330 0.830 0.000
Ce 0.670 0.170 0.000
Ce 0.830 0.670 0.000
Fe 0.145 0.645 0.000
Fe 0.355 0.145 0.000
Fe 0.645 0.855 0.000
Fe 0.855 0.355 0.000
Co 0.000 0.500 0.500
Co 0.060 0.810 0.500
Co 0.190 0.060 0.500
Co 0.310 0.560 0.500
Co 0.440 0.310 0.500
Co 0.500 0.000 0.500
Co 0.560 0.690 0.500
Co 0.690 0.440 0.500
Co 0.810 0.940 0.500
Co 0.940 0.190 0.500
Si 0.000 0.000 0.000
Si 0.500 0.500 0.000


The following is a PBE calculation of crystalline Ce2FeCo12Si3 at its relaxed geometry, from Alexandria via LeMat-Bulk.

As for the energy relative to the elements, uncorrected: 0.111 eV per atom. For the raw total energy, the calculation gives -0.489 Ry/atom.

Cell lengths 8.847, 8.847, 8.847 Å; angles 39.67, 39.67, 39.67 degrees
Sites, in units of the cell vectors:
Ce 0.162 0.162 0.162
Ce 0.838 0.838 0.838
Fe 0.500 0.500 0.500
Co 0.085 0.085 0.684
Co 0.085 0.684 0.085
Co 0.148 0.568 0.568
Co 0.316 0.915 0.915
Co 0.432 0.432 0.852
Co 0.432 0.852 0.432
Co 0.568 0.148 0.568
Co 0.568 0.568 0.148
Co 0.684 0.085 0.085
Co 0.852 0.432 0.432
Co 0.915 0.316 0.915
Co 0.915 0.915 0.316
Si 0.000 0.500 0.500
Si 0.500 0.000 0.500
Si 0.500 0.500 0.000